(1)
3
Lattice="-1.441 -2.315 -0.544 3.542 -1.900 -1.298 0.708 -1.366 3.933" Properties=species:S:1:pos:R:3 comment="Al2Rh, optimized geometry, DFT PBEsol" space_group="P4/mmm (123)" volume_a3_per_atom=16.53 ef_ev_per_atom=-0.681 pbc="T T T"
Rh 0.000 0.000 0.000
Al -0.366 -1.840 1.694
Al 1.050 -2.107 -0.921

(2)
9
Lattice="-2.927 -0.786 1.679 0.497 -5.059 2.075 0.517 1.601 5.226" Properties=species:S:1:pos:R:3 comment="Mn8Cr, optimized geometry, DFT PBEsol" space_group="I4/mmm (139)" volume_a3_per_atom=10.45 ef_ev_per_atom=0.105 pbc="T T T"
Cr 0.000 0.000 0.000
Mn -0.315 -2.557 5.405
Mn -1.598 -1.687 3.575
Mn 0.504 -2.813 3.138
Mn -0.795 -1.983 1.261
Mn -1.622 0.528 4.570
Mn 0.510 -0.645 4.163
Mn -0.788 0.287 2.335
Mn -1.635 -3.861 2.493

(3)
8
Lattice="-4.300 -0.988 -1.954 2.157 -2.648 -3.409 0.679 -2.280 5.616" Properties=species:S:1:pos:R:3 comment="Sc2CO, optimized geometry, DFT PBEsol" space_group="I-42d (122)" e_form_raw_ev_per_atom=-1.625 polymorph_energy_kj_per_mol_atoms=32.7 volume_a3_per_atom=14.72 pbc="T T T"
Sc 0.466 -3.252 -2.302
Sc -2.805 -2.432 -1.594
Sc 0.231 -2.151 3.559
Sc -0.819 -3.996 0.843
C -2.346 -2.543 0.490
C -1.071 -1.818 -2.682
O 0.883 -3.373 -0.237
O 0.000 0.000 0.000

(4)
16
Lattice="5.555 0.031 -0.012 -0.359 5.543 -0.012 -2.541 -2.726 6.545" Properties=species:S:1:pos:R:3 comment="LiTaGeO5, optimized geometry, DFT PBEsol" space_group="Cc (9)" e_form_raw_ev_per_atom=-2.332 volume_a3_per_atom=12.58 pbc="T T T"
Li 1.940 -0.197 4.609
Li 0.937 3.285 1.336
Ta -1.568 4.154 3.227
Ta 2.984 -2.636 6.499
Ge 2.756 1.327 1.672
Ge -0.139 1.480 4.944
O 3.011 0.133 2.926
O 3.962 1.130 0.416
O -0.421 2.669 3.688
O -1.349 1.650 6.198
O -0.049 -0.129 4.253
O 1.515 1.557 5.521
O 2.718 2.983 2.249
O 1.145 1.304 0.980
O 3.258 -1.626 4.889
O -0.581 4.498 1.616

(5)
10
Lattice="3.145 0.000 0.000 0.000 7.647 0.000 0.000 0.000 7.647" Properties=species:S:1:pos:R:3 comment="Zr2HgIr2, optimized geometry, DFT PBEsol" space_group="P4/mbm (127)" polymorph_energy_kj_per_mol_atoms=0.0 volume_a3_per_atom=18.39 ef_ev_per_atom=-0.638 pbc="T T T"
Ir 0.000 2.805 6.629
Ir 0.000 6.629 4.842
Ir 0.000 4.842 1.018
Ir 0.000 1.018 2.805
Hg 0.000 0.000 0.000
Hg 0.000 3.824 3.824
Zr 1.572 1.248 5.072
Zr 1.572 5.072 6.399
Zr 1.572 6.399 2.575
Zr 1.572 2.575 1.248

(6)
6
Lattice="2.919 0.000 0.000 0.000 3.999 0.000 -1.459 0.000 5.806" Properties=species:S:1:pos:R:3 comment="Cr2Si, optimized geometry, DFT PBEsol" space_group="Cmcm (63)" e_form_raw_ev_per_atom=-0.241 volume_a3_per_atom=11.29 pbc="T T T"
Cr 1.459 2.999 3.073
Cr 0.000 2.999 4.910
Cr 0.000 1.000 2.732
Cr 1.459 1.000 0.895
Si 0.000 2.999 1.086
Si 1.459 1.000 4.720

(7)
6
Lattice="3.951 0.000 0.000 0.000 5.621 0.000 -1.976 -2.810 5.930" Properties=species:S:1:pos:R:3 comment="AgSbPbS3, optimized geometry, DFT PBEsol" space_group="Imm2 (44)" e_form_raw_ev_per_atom=-0.271 polymorph_energy_kj_per_mol_atoms=0.3 volume_a3_per_atom=21.95 pbc="T T T"
Pb 0.000 0.000 3.923
Sb 1.976 2.810 1.997
S 0.000 2.810 0.209
S 0.000 2.810 3.995
S 1.976 0.000 1.845
Ag 1.976 2.810 5.822

(8)
4
Lattice="-1.478 0.319 -3.197 -3.513 -1.570 1.467 1.207 4.416 1.839" Properties=species:S:1:pos:R:3 comment="InCu2Ag, optimized geometry, DFT PBEsol" space_group="Imm2 (44)" volume_a3_per_atom=15.00 ef_ev_per_atom=0.030 pbc="T T T"
Cu -0.036 0.107 0.027
Cu -1.343 1.938 -1.142
Ag -2.424 1.179 1.238
In -1.268 3.732 0.959